The following is a PBE calculation of a relaxed structure of CeThTe2N, from the Alexandria database.

Values from the calculation:
Calculated density in Mg/m³: 7.243
Total magnetic moment in Bohr magnetons per cell: 1.72
E in eV per atom: -7.080
D(E_F) in states/eV per atom: 1.247
Formation energy from raw total energies in eV per atom: -1.487
Space-group type: No. 129
Crystal system: tetragonal

Unit cell a=4.2716 b=4.2716 c=16.1174 alpha=90.00 beta=90.00 gamma=90.00
With the nearest neighbours (Å) after each atom.
Atoms (fractional coordinates):
Ce 0.2500 0.2500 0.1299  5 Te 2.96-3.11
Ce 0.7500 0.7500 0.8701  5 Te 2.96-3.11
Th 0.2500 0.2500 0.5668  4 N 2.39
Th 0.7500 0.7500 0.4332  4 N 2.39
Te 0.2500 0.2500 0.3134  1 Ce 2.96
Te 0.2500 0.2500 0.9169  5 Ce 3.11-3.43
Te 0.7500 0.7500 0.0831  5 Ce 3.11-3.43
Te 0.7500 0.7500 0.6866  1 Ce 2.96
N 0.2500 0.7500 0.5000  4 Th 2.39
N 0.7500 0.2500 0.5000  4 Th 2.39